Below is an optimized crystal structure of NbCo2PbO6, with properties calculated at the GGA+U level.

The structure belongs to space group R3 (No. 146, hexagonal axes); the cell edges are 5.2995, 5.2995 and 14.7437 Å and the angles 90.00°, 90.00° and 120.00°. The asymmetric unit holds Nb at (0.0000, 0.0000, 0.0000), Co at (0.0000, 0.0000, 0.3082), Co at (0.0000, 0.0000, 0.7901), Pb at (0.0000, 0.0000, 0.5278), O at (0.0089, 0.3186, 0.3853) and O at (0.0126, 0.5701, 0.5707).

The value obtained for the total energy is -6.850 eV/atom.